1.
# Zr2BeFe3

Zr2BeFe3 after structural relaxation (PBE, the Alexandria database).

a b c (Å): 4.9166 4.9166 11.8886
angles (deg): 90.00 90.00 120.00
Space group R-3m (No. 166, hexagonal axes)
One atom of each set of equivalent atoms:
Zr 0.0000 0.0000 0.1244 (multiplicity 6)
Be 0.0000 0.0000 0.5000 (multiplicity 3)
Fe 0.0000 0.5000 0.0000 (multiplicity 9)

***

2.
# ZrBeFe

ZrBeFe after structural relaxation (PBE, the Alexandria database).

Properties
As for the excess energy over the best structure of this formula in the dataset: 1.38 eV per formula unit.

a b c (Å): 5.594 5.594 5.594
angles (deg): 90.00 90.00 90.00
Space group F-43m (No. 216)
One atom of each set of equivalent atoms:
Zr 0.000 0.000 0.000 (multiplicity 4)
Be 0.250 0.250 0.750 (multiplicity 4)
Fe 0.000 0.000 0.500 (multiplicity 4)

***

3.
# ZrBe17Fe

ZrBe17Fe after structural relaxation (PBE, the Alexandria database).

a b c (Å): 7.3714 7.3714 10.7579
angles (deg): 90.00 90.00 120.00
Space group R3m (No. 160, hexagonal axes)
One atom of each set of equivalent atoms:
Zr 0.0000 0.0000 0.0000 (multiplicity 3)
Be 0.0000 0.0000 0.5571 (multiplicity 3)
Be 0.0000 0.0000 0.7551 (multiplicity 3)
Be 0.0399 0.3661 0.3267 (multiplicity 18)
Be 0.1702 0.3405 0.1458 (multiplicity 9)
Be 0.1708 0.3415 0.4964 (multiplicity 9)
Be 0.1719 0.3437 0.8382 (multiplicity 9)
Fe 0.0000 0.0000 0.3270 (multiplicity 3)

***

4.
# ZrBe2Fe

ZrBe2Fe after structural relaxation (PBE, the Alexandria database).

Properties
As for the excess energy over the best structure of this formula in the dataset: 0.16 eV per formula unit.

a b c (Å): 2.715 3.132 5.805
angles (deg): 90.00 90.00 90.00
Space group Pmmm (No. 47)
One atom of each set of equivalent atoms:
Zr 0.000 0.000 0.000 (multiplicity 1)
Be 0.500 0.500 0.319 (multiplicity 2)
Fe 0.000 0.000 0.500 (multiplicity 1)

***

Number 1: calculated formation energy -24.7 kJ per mole of atoms, N(E_F) 13.19 states/eV/cell. Number 2: calculated formation energy 25.6 kJ per mole of atoms, N(E_F) 6.10 states/eV/cell. Number 3: calculated formation energy -11.9 kJ per mole of atoms, N(E_F) 16.62 states/eV/cell. Number 4: calculated formation energy -7.4 kJ per mole of atoms, N(E_F) 2.36 states/eV/cell.